(1)
! NbPPdO2 PBE relaxed; values from VASP
! DOS(E_F) in states/eV/cell: 4.247
! Spin magnetization in μB per cell: 0.0
! Crystal system: tetragonal
! Energy relative to the lowest polymorph listed for this composition in meV/atom: 0
! Raw formation energy in kcal/mol of atoms: -23.851
! Theoretical density in g/cm3: 5.37
&SYSTEM
  ibrav = 0, nat = 5, ntyp = 4
/
ATOMIC_SPECIES
O 16.00 O.upf
P 30.97 P.upf
Nb 92.91 Nb.upf
Pd 106.42 Pd.upf
ATOMIC_POSITIONS crystal
O 0.000 0.500 0.000
O 0.500 0.000 0.000
P 0.000 0.000 0.500
Nb 0.000 0.000 0.000
Pd 0.500 0.500 0.500
CELL_PARAMETERS angstrom
-3.014 2.192 0.916
-0.818 -2.347 2.924
3.197 3.012 3.313

---

(2)
! Hf2Pb2N PBE relaxed; values from VASP
! DOS(E_F) in states/eV/cell: 3.404
! Spin magnetization in μB per cell: 0.5
! Crystal system: tetragonal
! Energy relative to the lowest polymorph listed for this composition in meV/atom: 1566
! Raw formation energy in kcal/mol of atoms: 28.674
! Theoretical density in g/cm3: 11.00
&SYSTEM
  ibrav = 0, nat = 5, ntyp = 3
/
ATOMIC_SPECIES
Pb 207.20 Pb.upf
Hf 178.49 Hf.upf
N 14.01 N.upf
ATOMIC_POSITIONS crystal
Pb 0.250 0.750 0.500
Hf 0.408 0.408 0.184
Pb 0.750 0.250 0.500
Hf 0.592 0.592 0.816
N 0.000 0.000 0.000
CELL_PARAMETERS angstrom
-1.114 3.188 2.101
-3.476 -1.752 0.814
0.679 -2.314 7.634